[1]
! Ba3SrAg (PBE, optimized geometry); values from VASP
! Offset from the most stable computed form (meV per atom): 42
! Crystal system: cubic
! V (Å³ per atom): 57.6
! DFT formation energy (eV per atom): -0.06
! Space-group type: Pm-3m (221)
&SYSTEM
  ibrav = 0, nat = 5, ntyp = 3
/
ATOMIC_SPECIES
Sr 87.62 Sr.upf
Ba 137.33 Ba.upf
Ag 107.87 Ag.upf
CELL_PARAMETERS angstrom
-6.5905 0.0133 0.3998
0.1190 -6.2348 2.1699
0.3819 2.1731 6.2231
ATOMIC_POSITIONS crystal
Sr 0.5000 0.5000 0.5000
Ba 0.0000 0.5000 0.0000
Ba 0.0000 0.0000 0.5000
Ba 0.5000 0.0000 0.0000
Ag 0.0000 0.0000 0.0000

---

[2]
! Ba3SrAg4 (PBE, optimized geometry); values from VASP
! Crystal system: monoclinic
! V (Å³ per atom): 35.8
! DFT formation energy (eV per atom): -0.28
! Space-group type: Pm (6)
&SYSTEM
  ibrav = 0, nat = 8, ntyp = 3
/
ATOMIC_SPECIES
Ba 137.33 Ba.upf
Sr 87.62 Sr.upf
Ag 107.87 Ag.upf
CELL_PARAMETERS angstrom
-4.3607 1.8493 -1.5022
-0.8332 -5.2373 -4.0288
-4.0183 -4.3575 6.3003
ATOMIC_POSITIONS crystal
Ba 0.5000 0.3673 0.1819
Ba 0.0000 0.8681 0.3226
Ba 0.0000 0.6344 0.8179
Sr 0.5000 0.1344 0.6811
Ag 0.5000 0.6136 0.5387
Ag 0.5000 0.8889 0.0281
Ag 0.0000 0.3728 0.4736
Ag 0.0000 0.1205 0.9560

---

[3]
! BaSrAg3 (PBE, optimized geometry); values from VASP
! Offset from the most stable computed form (meV per atom): 685
! Crystal system: cubic
! V (Å³ per atom): 42.4
! DFT formation energy (eV per atom): 0.40
! Space-group type: Pm-3m (221)
&SYSTEM
  ibrav = 0, nat = 5, ntyp = 3
/
ATOMIC_SPECIES
Sr 87.62 Sr.upf
Ba 137.33 Ba.upf
Ag 107.87 Ag.upf
CELL_PARAMETERS angstrom
-3.7350 0.3439 -4.6373
4.6007 -0.5907 -3.7493
-0.6755 -5.9250 0.1046
ATOMIC_POSITIONS crystal
Sr 0.5000 0.5000 0.5000
Ba 0.0000 0.0000 0.0000
Ag 0.0000 0.5000 0.0000
Ag 0.0000 0.0000 0.5000
Ag 0.5000 0.0000 0.0000

---

[4]
! Ba6SrAg4 (PBE, optimized geometry); values from VASP
! Crystal system: tetragonal
! V (Å³ per atom): 43.9
! DFT formation energy (eV per atom): -0.11
! Space-group type: I-42m (121)
&SYSTEM
  ibrav = 0, nat = 11, ntyp = 3
/
ATOMIC_SPECIES
Ba 137.33 Ba.upf
Sr 87.62 Sr.upf
Ag 107.87 Ag.upf
CELL_PARAMETERS angstrom
-5.9965 3.9220 0.2014
1.0525 1.9671 -6.8120
-2.4890 -10.3793 0.3914
ATOMIC_POSITIONS crystal
Ba 0.0911 0.5487 0.6398
Ba 0.5487 0.0911 0.6398
Ba 0.9091 0.9091 0.3602
Ba 0.9999 0.4998 0.0000
Ba 0.4517 0.4517 0.3602
Ba 0.4998 0.9999 0.0000
Sr 0.9999 0.9999 0.0000
Ag 0.9067 0.3569 0.2634
Ag 0.6432 0.6432 0.7366
Ag 0.3569 0.9067 0.2634
Ag 0.0932 0.0932 0.7364

---

[5]
! BaSrAg (PBE, optimized geometry); values from VASP
! Offset from the most stable computed form (meV per atom): 0
! Crystal system: orthorhombic
! V (Å³ per atom): 43.0
! DFT formation energy (eV per atom): -0.19
! Space-group type: Pbca (61)
&SYSTEM
  ibrav = 0, nat = 24, ntyp = 3
/
ATOMIC_SPECIES
Ba 137.33 Ba.upf
Sr 87.62 Sr.upf
Ag 107.87 Ag.upf
CELL_PARAMETERS angstrom
8.0057 0.0000 0.0000
0.0000 8.6516 0.0000
0.0000 0.0000 14.9102
ATOMIC_POSITIONS crystal
Ba 0.8051 0.3948 0.1971
Ba 0.1949 0.6052 0.8029
Ba 0.6949 0.8948 0.8029
Ba 0.1949 0.1052 0.6971
Ba 0.3051 0.1052 0.1971
Ba 0.8051 0.8948 0.3029
Ba 0.3051 0.6052 0.3029
Ba 0.6949 0.3948 0.6971
Sr 0.0047 0.2694 0.4587
Sr 0.9953 0.7306 0.5413
Sr 0.4953 0.7694 0.5413
Sr 0.9953 0.2306 0.9587
Sr 0.5047 0.2306 0.4587
Sr 0.0047 0.7694 0.0413
Sr 0.5047 0.7306 0.0413
Sr 0.4953 0.2694 0.9587
Ag 0.7231 0.0438 0.0899
Ag 0.2769 0.9562 0.9101
Ag 0.7769 0.5438 0.9101
Ag 0.2769 0.4562 0.5899
Ag 0.2231 0.4562 0.0899
Ag 0.7231 0.5438 0.4101
Ag 0.2231 0.9562 0.4101
Ag 0.7769 0.0438 0.5899

---

[6]
! BaSr2Ag3 (PBE, optimized geometry); values from VASP
! Crystal system: tetragonal
! V (Å³ per atom): 31.9
! DFT formation energy (eV per atom): -0.25
! Space-group type: P4/mmm (123)
&SYSTEM
  ibrav = 0, nat = 6, ntyp = 3
/
ATOMIC_SPECIES
Ba 137.33 Ba.upf
Sr 87.62 Sr.upf
Ag 107.87 Ag.upf
CELL_PARAMETERS angstrom
-3.7770 1.3737 -0.2819
-0.9782 -3.1612 -2.2982
-2.9420 -6.1079 9.6535
ATOMIC_POSITIONS crystal
Ba 0.5000 0.5000 0.5000
Sr 0.5000 0.5000 0.8374
Sr 0.5000 0.5000 0.1626
Ag 0.0000 0.0000 0.0000
Ag 0.0000 0.0000 0.6835
Ag 0.0000 0.0000 0.3165

---

> Look up the DFT formation energy of the first one.

-0.06 eV per atom

---

> Which formula does entry 6 have?

BaSr2Ag3